Entry 1:
An optimized crystal structure of AlCdSi2. Source: Alexandria via LeMat-Bulk, functional PBE-GGA.

- distance to the lowest polymorph of the same formula (eV per atom) = 0.1810
- Fermi-level density of states (states/eV/atom) = 0.3391

abc: 4.682 4.682 4.682
angles: 60.00 60.00 60.00
Sites, in units of the cell vectors:
Al (0.000, 0.000, 0.000)
Cd (0.500, 0.500, 0.500)
Si (0.250, 0.250, 0.250)
Si (0.750, 0.750, 0.750)

---

Entry 2:
An optimized crystal structure of Al2CdSi2. Source: Alexandria via LeMat-Bulk, functional PBE-GGA.

- Fermi-level density of states (states/eV/atom) = 0.2818
- uncorrected energy (eV per cell) = -35.9

abc: 7.418 7.418 3.239
angles: 90.00 90.00 90.00
Sites, in units of the cell vectors:
Al (0.157, 0.343, 0.000)
Al (0.343, 0.843, 0.000)
Al (0.657, 0.157, 0.000)
Al (0.843, 0.657, 0.000)
Cd (0.000, 0.000, 0.500)
Cd (0.500, 0.500, 0.500)
Si (0.131, 0.631, 0.500)
Si (0.369, 0.131, 0.500)
Si (0.631, 0.869, 0.500)
Si (0.869, 0.369, 0.500)

---

Entry 3:
An optimized crystal structure of AlCd2Si. Source: Alexandria via LeMat-Bulk, functional PBE-GGA.

- distance to the lowest polymorph of the same formula (eV per atom) = 0.0799
- Fermi-level density of states (states/eV/atom) = 0.3173

abc: 5.357 5.357 5.038
angles: 99.35 99.35 33.51
Sites, in units of the cell vectors:
Al (0.000, 0.000, 0.000)
Cd (0.249, 0.249, 0.750)
Cd (0.751, 0.751, 0.250)
Si (0.500, 0.500, 0.500)

---

Entry 4:
An optimized crystal structure of AlCdSi2. Source: Alexandria via LeMat-Bulk, functional PBE-GGA.

- distance to the lowest polymorph of the same formula (eV per atom) = 0.1027
- Fermi-level density of states (states/eV/atom) = 0.3802

abc: 5.935 5.935 5.935
angles: 153.43 129.52 57.95
Sites, in units of the cell vectors:
Al (0.000, 0.000, 0.000)
Cd (0.500, 0.500, 0.000)
Si (0.229, 0.729, 0.500)
Si (0.771, 0.271, 0.500)

---

Entry 5:
An optimized crystal structure of AlCdSi2. Source: Alexandria via LeMat-Bulk, functional PBE-GGA.

- distance to the lowest polymorph of the same formula (eV per atom) = 0.0628
- Fermi-level density of states (states/eV/atom) = 0.4464

abc: 2.881 4.653 5.766
angles: 90.00 100.59 90.00
Sites, in units of the cell vectors:
Al (0.000, 0.000, 0.000)
Cd (0.500, 0.000, 0.500)
Si (0.322, 0.500, 0.182)
Si (0.678, 0.500, 0.818)

---

Entry 6:
An optimized crystal structure of AlCdSi2. Source: Alexandria via LeMat-Bulk, functional PBE-GGA.

- distance to the lowest polymorph of the same formula (eV per atom) = 0.0656
- Fermi-level density of states (states/eV/atom) = 0.3675

abc: 10.789 10.789 10.789
angles: 14.83 14.83 14.83
Sites, in units of the cell vectors:
Al (0.000, 0.000, 0.000)
Cd (0.500, 0.500, 0.500)
Si (0.262, 0.262, 0.262)
Si (0.738, 0.738, 0.738)

---

Entry 7:
An optimized crystal structure of AlCdSi2. Source: Alexandria via LeMat-Bulk, functional PBE-GGA.

- distance to the lowest polymorph of the same formula (eV per atom) = 0.1266
- Fermi-level density of states (states/eV/atom) = 0.3502

abc: 4.903 4.903 3.049
angles: 94.33 94.33 101.04
Sites, in units of the cell vectors:
Al (0.000, 0.000, 0.000)
Cd (0.500, 0.500, 0.000)
Si (0.000, 0.500, 0.500)
Si (0.500, 0.000, 0.500)

---

Entry 8:
An optimized crystal structure of AlCdSi2. Source: Alexandria via LeMat-Bulk, functional PBE-GGA.

- distance to the lowest polymorph of the same formula (eV per atom) = 0.0471
- Fermi-level density of states (states/eV/atom) = 0.3020

abc: 4.662 4.662 5.858
angles: 96.79 96.79 35.68
Sites, in units of the cell vectors:
Al (0.000, 0.000, 0.000)
Cd (0.500, 0.500, 0.500)
Si (0.255, 0.255, 0.807)
Si (0.745, 0.745, 0.193)

---

Entry 9:
An optimized crystal structure of Al3CdSi. Source: Alexandria via LeMat-Bulk, functional PBE-GGA.

- distance to the lowest polymorph of the same formula (eV per atom) = 0.0000
- Fermi-level density of states (states/eV/atom) = 0.5943

abc: 4.845 4.845 4.845
angles: 90.00 90.00 90.00
Sites, in units of the cell vectors:
Al (0.000, 0.000, 0.500)
Al (0.000, 0.500, 0.000)
Al (0.500, 0.000, 0.000)
Cd (0.500, 0.500, 0.500)
Si (0.000, 0.000, 0.000)

---

Entry 10:
An optimized crystal structure of AlCd2Si. Source: Alexandria via LeMat-Bulk, functional PBE-GGA.

- distance to the lowest polymorph of the same formula (eV per atom) = 0.0689
- Fermi-level density of states (states/eV/atom) = 0.2373

abc: 10.714 10.714 10.714
angles: 15.75 15.75 15.75
Sites, in units of the cell vectors:
Al (0.000, 0.000, 0.000)
Cd (0.253, 0.253, 0.253)
Cd (0.747, 0.747, 0.747)
Si (0.500, 0.500, 0.500)

---

Entry 11:
An optimized crystal structure of Al2CdSi2. Source: Alexandria via LeMat-Bulk, functional PBE-GGA.

- Fermi-level density of states (states/eV/atom) = 0.3990
- uncorrected energy (eV per cell) = -36.1

abc: 7.931 7.931 2.800
angles: 90.00 90.00 90.00
Sites, in units of the cell vectors:
Al (0.139, 0.361, 0.000)
Al (0.361, 0.861, 0.000)
Al (0.639, 0.139, 0.000)
Al (0.861, 0.639, 0.000)
Cd (0.000, 0.000, 0.000)
Cd (0.500, 0.500, 0.000)
Si (0.155, 0.655, 0.500)
Si (0.345, 0.155, 0.500)
Si (0.655, 0.845, 0.500)
Si (0.845, 0.345, 0.500)

---

Entry 12:
An optimized crystal structure of AlCdSi2. Source: Alexandria via LeMat-Bulk, functional PBE-GGA.

- distance to the lowest polymorph of the same formula (eV per atom) = 0.1710
- Fermi-level density of states (states/eV/atom) = 0.5856

abc: 4.673 4.673 4.673
angles: 60.00 60.00 60.00
Sites, in units of the cell vectors:
Al (0.000, 0.000, 0.000)
Cd (0.750, 0.750, 0.750)
Si (0.250, 0.250, 0.250)
Si (0.500, 0.500, 0.500)